1.
This record from Alexandria via LeMat-Bulk describes a relaxed structure of Pm6Ni2Pb. The functional is PBE-GGA.

Summary:
**Final energy**: -5.150 eV per atom

Unit cell a=8.7099 b=8.7099 c=8.7099 alpha=114.19 beta=108.21 gamma=106.12
Last column: nearest neighbours and their distance in Å.
Fractional positions:
Pm1 0.0210 0.2277 0.7933  1 Ni 2.87, 1 Pb 3.18
Pm2 0.1834 0.2947 0.4780  2 Ni 2.97
Pm3 0.1834 0.7053 0.8887  2 Ni 2.97
Pm4 0.3227 0.0133 0.6905  3 Ni 2.79-2.94
Pm5 0.3227 0.6322 0.3095  3 Ni 2.79-2.94
Pm6 0.4344 0.2277 0.2067  1 Ni 2.87, 1 Pb 3.18
Pm7 0.5656 0.7723 0.7933  1 Ni 2.87, 1 Pb 3.18
Pm8 0.6773 0.3678 0.6905  3 Ni 2.79-2.94
Pm9 0.6773 0.9867 0.3095  3 Ni 2.79-2.94
Pm10 0.8166 0.2947 0.1113  2 Ni 2.97
Pm11 0.8166 0.7053 0.5220  2 Ni 2.97
Pm12 0.9790 0.7723 0.2067  1 Ni 2.87, 1 Pb 3.18
Ni1 0.1195 0.6195 0.5000  1 Ni 2.50, 2 Pm 2.79
Ni2 0.3627 0.0000 0.3627  1 Ni 2.80, 6 Pm 2.87-2.94
Ni3 0.6373 0.0000 0.6373  1 Ni 2.80, 6 Pm 2.87-2.94
Ni4 0.8805 0.3805 0.5000  1 Ni 2.50, 2 Pm 2.79
Pb1 0.0000 0.0000 0.0000  8 Pm 3.18-3.36
Pb2 0.5000 0.5000 0.0000  12 Pm 3.47-3.77

***

2.
This record from Alexandria via LeMat-Bulk describes a relaxed structure of Ti2BeSnCl. The functional is PBE-GGA.

Summary:
**Uncorrected formation energy**: 0.227 eV per atom

Unit cell a=4.5671 b=4.5671 c=4.1043 alpha=90.00 beta=90.00 gamma=90.00
Last column: nearest neighbours and their distance in Å.
Fractional positions:
Ti1 0.0000 0.5000 0.0000  2 Cl 2.28
Ti2 0.5000 0.0000 0.0000  2 Cl 2.28
Be1 0.0000 0.0000 0.5000  2 Cl 2.05
Sn1 0.5000 0.5000 0.5000  8 Ti 3.07, 4 Be 3.23
Cl1 0.0000 0.0000 0.0000  2 Be 2.05, 4 Ti 2.28

***

3.
This record from Alexandria via LeMat-Bulk describes a relaxed structure of Ce3GaOs. The functional is PBE-GGA.

Summary:
**Offset from the most stable computed form**: 3.47 kJ/mol of atoms

Unit cell a=5.3399 b=6.3924 c=7.0447 alpha=90.00 beta=97.37 gamma=90.00
Last column: nearest neighbours and their distance in Å.
Fractional positions:
Ce1 0.1380 0.2500 0.1105  2 Os 2.65-2.83
Ce2 0.3584 0.0233 0.6566  2 Ce 2.85-2.90, 2 Os 2.86-3.16, 3 Ga 3.05-3.16
Ce3 0.3584 0.4767 0.6566  2 Ce 2.85-2.90, 2 Os 2.86-3.16, 3 Ga 3.05-3.16
Ce4 0.6416 0.5233 0.3434  2 Ce 2.85-2.90, 2 Os 2.86-3.16, 3 Ga 3.05-3.16
Ce5 0.6416 0.9767 0.3434  2 Ce 2.85-2.90, 2 Os 2.86-3.16, 3 Ga 3.05-3.16
Ce6 0.8620 0.7500 0.8895  2 Os 2.65-2.83
Ga1 0.1343 0.7500 0.3016  1 Os 2.71
Ga2 0.8657 0.2500 0.6984  1 Os 2.71
Os1 0.3590 0.7500 0.9780  4 Ce 2.65-2.86, 1 Ga 2.71
Os2 0.6410 0.2500 0.0220  4 Ce 2.65-2.86, 1 Ga 2.71

***

4.
This record from Alexandria via LeMat-Bulk describes a relaxed structure of BaTi2Pd. The functional is PBE-GGA.

Summary:
**Offset from the most stable computed form**: 0.00 kJ/mol of atoms

Unit cell a=6.8354 b=6.8354 c=6.8354 alpha=90.00 beta=90.00 gamma=90.00
Last column: nearest neighbours and their distance in Å.
Fractional positions:
Ba1 0.0000 0.0000 0.0000  8 Ti 2.96
Ba2 0.0000 0.5000 0.5000  8 Ti 2.96
Ba3 0.5000 0.0000 0.5000  8 Ti 2.96
Ba4 0.5000 0.5000 0.0000  8 Ti 2.96
Ti1 0.2500 0.2500 0.2500  4 Pd 2.96, 4 Ba 2.96
Ti2 0.2500 0.2500 0.7500  4 Ba 2.96, 4 Pd 2.96
Ti3 0.2500 0.7500 0.2500  4 Ba 2.96, 4 Pd 2.96
Ti4 0.2500 0.7500 0.7500  4 Pd 2.96, 4 Ba 2.96
Ti5 0.7500 0.2500 0.2500  4 Ba 2.96, 4 Pd 2.96
Ti6 0.7500 0.2500 0.7500  4 Pd 2.96, 4 Ba 2.96
Ti7 0.7500 0.7500 0.2500  4 Pd 2.96, 4 Ba 2.96
Ti8 0.7500 0.7500 0.7500  4 Ba 2.96, 4 Pd 2.96
Pd1 0.0000 0.0000 0.5000  8 Ti 2.96
Pd2 0.0000 0.5000 0.0000  8 Ti 2.96
Pd3 0.5000 0.0000 0.0000  8 Ti 2.96
Pd4 0.5000 0.5000 0.5000  8 Ti 2.96

***

5.
This record from Alexandria via LeMat-Bulk describes a relaxed structure of Ho2Al3Mo. The functional is PBE-GGA.

Summary:
**Final energy**: -5.602 eV per atom

Unit cell a=5.4921 b=5.4921 c=5.4921 alpha=60.95 beta=60.95 gamma=60.95
Last column: nearest neighbours and their distance in Å.
Fractional positions:
Ho1 0.1285 0.1285 0.1285  9 Al 3.17-3.27, 3 Mo 3.26, 4 Ho 3.37-3.43
Ho2 0.8715 0.8715 0.8715  9 Al 3.17-3.27, 3 Mo 3.26, 4 Ho 3.37-3.43
Al1 0.0000 0.5000 0.5000  2 Mo 2.75, 4 Al 2.79
Al2 0.5000 0.0000 0.5000  2 Mo 2.75, 4 Al 2.79
Al3 0.5000 0.5000 0.0000  2 Mo 2.75, 4 Al 2.79
Mo1 0.5000 0.5000 0.5000  6 Al 2.75

***

6.
This record from Alexandria via LeMat-Bulk describes a relaxed structure of ZrTaIn2. The functional is PBE-GGA.

Summary:
**Offset from the most stable computed form**: 21.80 kJ/mol of atoms

Unit cell a=6.9407 b=6.9407 c=6.9407 alpha=90.00 beta=90.00 gamma=90.00
Last column: nearest neighbours and their distance in Å.
Fractional positions:
Zr1 0.0000 0.0000 0.0000  8 In 3.01
Zr2 0.0000 0.5000 0.5000  8 In 3.01
Zr3 0.5000 0.0000 0.5000  8 In 3.01
Zr4 0.5000 0.5000 0.0000  8 In 3.01
Ta1 0.0000 0.0000 0.5000  8 In 3.01
Ta2 0.0000 0.5000 0.0000  8 In 3.01
Ta3 0.5000 0.0000 0.0000  8 In 3.01
Ta4 0.5000 0.5000 0.5000  8 In 3.01
In1 0.2500 0.2500 0.2500  4 Zr 3.01, 4 Ta 3.01
In2 0.2500 0.2500 0.7500  4 Zr 3.01, 4 Ta 3.01
In3 0.2500 0.7500 0.2500  4 Zr 3.01, 4 Ta 3.01
In4 0.2500 0.7500 0.7500  4 Zr 3.01, 4 Ta 3.01
In5 0.7500 0.2500 0.2500  4 Zr 3.01, 4 Ta 3.01
In6 0.7500 0.2500 0.7500  4 Zr 3.01, 4 Ta 3.01
In7 0.7500 0.7500 0.2500  4 Zr 3.01, 4 Ta 3.01
In8 0.7500 0.7500 0.7500  4 Ta 3.01, 4 Zr 3.01

***

7.
This record from Alexandria via LeMat-Bulk describes a relaxed structure of Cs2TbPb3F12. The functional is PBE-GGA.

Summary:
**Uncorrected formation energy**: -2.757 eV per atom

Unit cell a=8.6646 b=8.6646 c=8.6646 alpha=59.06 beta=59.06 gamma=59.06
Last column: nearest neighbours and their distance in Å.
Fractional positions:
Cs1 0.1034 0.1034 0.1034  3 F 3.26
Cs2 0.8966 0.8966 0.8966  3 F 3.26
Tb1 0.5000 0.5000 0.5000  6 F 2.20
Pb1 0.0000 0.5000 0.5000  6 F 2.38-2.40
Pb2 0.5000 0.0000 0.5000  6 F 2.38-2.40
Pb3 0.5000 0.5000 0.0000  6 F 2.38-2.40
F1 0.1635 0.1635 0.5855  2 Pb 2.38
F2 0.1635 0.5855 0.1635  2 Pb 2.38
F3 0.1970 0.5638 0.5638  1 Tb 2.20, 1 Pb 2.40
F4 0.4145 0.8365 0.8365  2 Pb 2.38
F5 0.4362 0.4362 0.8030  1 Tb 2.20, 1 Pb 2.40
F6 0.4362 0.8030 0.4362  1 Tb 2.20, 1 Pb 2.40
F7 0.5638 0.1970 0.5638  1 Tb 2.20, 1 Pb 2.40
F8 0.5638 0.5638 0.1970  1 Tb 2.20, 1 Pb 2.40
F9 0.5855 0.1635 0.1635  2 Pb 2.38
F10 0.8030 0.4362 0.4362  1 Tb 2.20, 1 Pb 2.40
F11 0.8365 0.4145 0.8365  2 Pb 2.38
F12 0.8365 0.8365 0.4145  2 Pb 2.38

***

8.
This record from Alexandria via LeMat-Bulk describes a relaxed structure of Na2CaTlCd. The functional is PBE-GGA.

Summary:
**Final energy**: -1.447 eV per atom

Unit cell a=5.6149 b=5.6149 c=6.0889 alpha=90.00 beta=90.00 gamma=90.00
Last column: nearest neighbours and their distance in Å.
Fractional positions:
Na1 0.0000 0.5000 0.0000  2 Cd 2.81
Na2 0.5000 0.0000 0.0000  2 Cd 2.81
Ca1 0.0000 0.0000 0.5000  2 Cd 3.04
Tl1 0.5000 0.5000 0.5000  4 Ca 3.97, 8 Na 4.14
Cd1 0.0000 0.0000 0.0000  4 Na 2.81, 2 Ca 3.04

***

9.
This record from Alexandria via LeMat-Bulk describes a relaxed structure of LiErTiRu. The functional is PBE-GGA.

Summary:
**Final energy**: -6.112 eV per atom

Unit cell a=6.5438 b=6.5438 c=6.5438 alpha=90.00 beta=90.00 gamma=90.00
Last column: nearest neighbours and their distance in Å.
Fractional positions:
Li1 0.0000 0.0000 0.0000  4 Er 2.83, 4 Ti 2.83
Li2 0.0000 0.5000 0.5000  4 Er 2.83, 4 Ti 2.83
Li3 0.5000 0.0000 0.5000  4 Er 2.83, 4 Ti 2.83
Li4 0.5000 0.5000 0.0000  4 Er 2.83, 4 Ti 2.83
Er1 0.2500 0.2500 0.2500  4 Li 2.83, 4 Ru 2.83
Er2 0.2500 0.7500 0.7500  4 Li 2.83, 4 Ru 2.83
Er3 0.7500 0.2500 0.7500  4 Li 2.83, 4 Ru 2.83
Er4 0.7500 0.7500 0.2500  4 Li 2.83, 4 Ru 2.83
Ti1 0.2500 0.2500 0.7500  4 Li 2.83, 4 Ru 2.83
Ti2 0.2500 0.7500 0.2500  4 Li 2.83, 4 Ru 2.83
Ti3 0.7500 0.2500 0.2500  4 Li 2.83, 4 Ru 2.83
Ti4 0.7500 0.7500 0.7500  4 Li 2.83, 4 Ru 2.83
Ru1 0.0000 0.0000 0.5000  4 Er 2.83, 4 Ti 2.83
Ru2 0.0000 0.5000 0.0000  4 Er 2.83, 4 Ti 2.83
Ru3 0.5000 0.0000 0.0000  4 Er 2.83, 4 Ti 2.83
Ru4 0.5000 0.5000 0.5000  4 Er 2.83, 4 Ti 2.83

***

10.
This record from Alexandria via LeMat-Bulk describes a relaxed structure of Ce5Al3Ga3. The functional is PBE-GGA.

Summary:
**Final energy**: -4.570 eV per atom

Unit cell a=9.7699 b=9.7699 c=3.0402 alpha=90.00 beta=90.00 gamma=120.00
Last column: nearest neighbours and their distance in Å.
Fractional positions:
Ce1 0.0000 0.6409 0.0000  4 Ce 3.04-3.14, 2 Ga 3.05, 2 Al 3.05
Ce2 0.3333 0.6667 0.0000  5 Ce 3.04-3.14
Ce3 0.3591 0.3591 0.0000  4 Ce 3.04-3.14, 2 Ga 3.05, 2 Al 3.05
Ce4 0.6409 0.0000 0.0000  4 Ce 3.04-3.14, 2 Ga 3.05, 2 Al 3.05
Ce5 0.6667 0.3333 0.0000  5 Ce 3.04-3.14
Al1 0.0000 0.1527 0.0000  2 Al 2.58, 2 Ga 2.62
Al2 0.1527 0.0000 0.0000  2 Al 2.58, 2 Ga 2.62
Al3 0.8473 0.8473 0.0000  2 Al 2.58, 2 Ga 2.62
Ga1 0.0000 0.3707 0.5000  2 Al 2.62
Ga2 0.3707 0.0000 0.5000  2 Al 2.62
Ga3 0.6293 0.6293 0.5000  2 Al 2.62

***

11.
This record from Alexandria via LeMat-Bulk describes a relaxed structure of RbTlAsP. The functional is PBE-GGA.

Summary:
**Offset from the most stable computed form**: 13.82 kJ/mol of atoms

Unit cell a=12.0963 b=4.2057 c=5.5260 alpha=90.00 beta=104.04 gamma=90.00
Last column: nearest neighbours and their distance in Å.
Fractional positions:
Rb1 0.0000 0.0000 0.0000  3 P 3.39-3.46, 1 As 3.74
Rb2 0.5000 0.5000 0.0000  3 P 3.39-3.46, 1 As 3.74
Tl1 0.3188 0.0000 0.4440  2 P 2.91, 2 As 3.08
Tl2 0.8188 0.5000 0.4440  2 P 2.91, 2 As 3.08
As1 0.1902 0.5000 0.6790  1 P 2.19
As2 0.6902 0.0000 0.6790  1 P 2.19
P1 0.2265 0.5000 0.0878  1 As 2.19
P2 0.7265 0.0000 0.0878  1 As 2.19

***

12.
This record from Alexandria via LeMat-Bulk describes a relaxed structure of Nd6Hg5Pt. The functional is PBE-GGA.

Summary:
**Final energy**: -3.584 eV per atom

Unit cell a=9.2775 b=9.2775 c=5.3442 alpha=106.69 beta=106.69 gamma=48.72
Last column: nearest neighbours and their distance in Å.
Fractional positions:
Nd1 0.0789 0.6056 0.3420  1 Pt 3.11, 7 Hg 3.23-3.35
Nd2 0.2302 0.7698 0.0000  2 Pt 3.20, 6 Hg 3.38-3.43, 1 Nd 3.52
Nd3 0.3944 0.9211 0.6580  1 Pt 3.11, 7 Hg 3.23-3.35
Nd4 0.6056 0.0789 0.3420  1 Pt 3.11, 7 Hg 3.23-3.35
Nd5 0.7698 0.2302 0.0000  2 Pt 3.20, 6 Hg 3.38-3.43, 1 Nd 3.52
Nd6 0.9211 0.3944 0.6580  1 Pt 3.11, 7 Hg 3.23-3.35
Hg1 0.1834 0.1834 0.1839  8 Nd 3.25-3.43, 2 Hg 3.59-3.60
Hg2 0.3334 0.3334 0.8328  8 Nd 3.35-3.38, 2 Hg 3.59-3.60
Hg3 0.5000 0.5000 0.5000  8 Nd 3.23-3.38
Hg4 0.6666 0.6666 0.1672  8 Nd 3.35-3.38, 2 Hg 3.59-3.60
Hg5 0.8166 0.8166 0.8161  8 Nd 3.25-3.43, 2 Hg 3.59-3.60
Pt1 0.0000 0.0000 0.5000  8 Nd 3.11-3.20

***

Which formula does entry 3 have?
Ce3GaOs